The following is a DFT calculation (GGA-PBE) of crystalline Tb2Pr3PuTe6 at its relaxed geometry.

Calculated values
- DOS at the Fermi energy (states/eV per cell) = 13.14
- formation energy without anion corrections (eV per formula unit) = -16.26

a = 4.4248 Å, b = 8.9903 Å, c = 10.0026 Å
α = 103.64°, β = 102.78°, γ = 90.00°
Closest atoms and distances in Å follow each position.
Atoms (fractional coordinates):
Pr 0.8343 0.1662 0.6685  6 Te 3.18-3.23
Pr 0.1657 0.8338 0.3315  6 Te 3.18-3.23
Pr 0.5000 0.5000 0.0000  6 Te 3.19-3.24
Te 0.3348 0.9097 0.6695  2 Tb 3.08, 1 Pu 3.13, 3 Pr 3.20
Te 0.9978 0.7547 0.9956  1 Tb 3.06, 2 Pu 3.12, 3 Pr 3.18-3.19
Te 0.6708 0.5755 0.3416  3 Tb 3.11-3.13, 3 Pr 3.23-3.24
Te 0.3292 0.4245 0.6584  3 Tb 3.11-3.13, 3 Pr 3.23-3.24
Te 0.6652 0.0903 0.3305  2 Tb 3.08, 1 Pu 3.13, 3 Pr 3.20
Te 0.0022 0.2453 0.0044  1 Tb 3.06, 2 Pu 3.12, 3 Pr 3.18-3.19
Pu 0.5000 0.0000 0.0000  6 Te 3.12-3.13
Tb 0.8361 0.6714 0.6721  6 Te 3.06-3.13
Tb 0.1639 0.3286 0.3279  6 Te 3.06-3.13